# 1
! PBE Y3RuAu2, relaxed; values from VASP
&SYSTEM
  ibrav = 0, nat = 6, ntyp = 3
/
ATOMIC_SPECIES
Y 88.91 Y.upf
Ru 101.07 Ru.upf
Au 196.97 Au.upf
CELL_PARAMETERS angstrom
3.518 0.000 0.000
0.000 3.518 0.000
0.000 0.000 10.775
ATOMIC_POSITIONS crystal
Y 0.000 0.000 0.000
Y 0.000 0.000 0.346
Y 0.000 0.000 0.654
Ru 0.500 0.500 0.500
Au 0.500 0.500 0.171
Au 0.500 0.500 0.829
! formation enthalpy at 0 K: -4.2 eV per formula unit
! V: 22.22 Å³ per atom


# 2
! PBE Y8Ru2Au, relaxed; values from VASP
&SYSTEM
  ibrav = 0, nat = 11, ntyp = 3
/
ATOMIC_SPECIES
Y 88.91 Y.upf
Ru 101.07 Ru.upf
Au 196.97 Au.upf
CELL_PARAMETERS angstrom
4.289 -6.364 0.000
4.289 6.364 0.000
-1.646 0.000 5.547
ATOMIC_POSITIONS crystal
Y 0.000 0.000 0.000
Y 0.032 0.297 0.601
Y 0.142 0.601 0.192
Y 0.297 0.032 0.601
Y 0.441 0.705 0.788
Y 0.601 0.142 0.192
Y 0.705 0.441 0.788
Y 0.746 0.746 0.387
Ru 0.058 0.680 0.694
Ru 0.680 0.058 0.694
Au 0.375 0.375 0.067
! formation enthalpy at 0 K: -3.0 eV per formula unit
! V: 27.53 Å³ per atom


# 3
! PBE YRuAu, relaxed; values from VASP
&SYSTEM
  ibrav = 0, nat = 3, ntyp = 3
/
ATOMIC_SPECIES
Y 88.91 Y.upf
Ru 101.07 Ru.upf
Au 196.97 Au.upf
CELL_PARAMETERS angstrom
-1.760 1.760 4.769
1.760 -1.760 4.769
1.760 1.760 -4.769
ATOMIC_POSITIONS crystal
Y 0.000 0.000 0.000
Ru 0.666 0.666 0.000
Au 0.315 0.315 0.000
! formation enthalpy at 0 K: -0.6 eV per formula unit
! V: 19.69 Å³ per atom


# 4
! PBE Y2RuAu, relaxed; values from VASP
&SYSTEM
  ibrav = 0, nat = 8, ntyp = 3
/
ATOMIC_SPECIES
Y 88.91 Y.upf
Ru 101.07 Ru.upf
Au 196.97 Au.upf
CELL_PARAMETERS angstrom
-2.364 2.364 8.964
2.364 -2.364 8.964
2.364 2.364 -8.964
ATOMIC_POSITIONS crystal
Y 0.107 0.625 0.982
Y 0.375 0.357 0.482
Y 0.643 0.125 0.018
Y 0.875 0.893 0.518
Ru 0.000 0.000 0.000
Ru 0.750 0.250 0.500
Au 0.250 0.750 0.500
Au 0.500 0.500 0.000
! formation enthalpy at 0 K: 1.0 eV per formula unit
! V: 25.04 Å³ per atom


# 5
! PBE Y2RuAu, relaxed; values from VASP
&SYSTEM
  ibrav = 0, nat = 4, ntyp = 3
/
ATOMIC_SPECIES
Y 88.91 Y.upf
Ru 101.07 Ru.upf
Au 196.97 Au.upf
CELL_PARAMETERS angstrom
3.594 0.000 0.000
0.000 4.383 0.000
0.000 0.000 5.899
ATOMIC_POSITIONS crystal
Y 0.000 0.000 0.000
Y 0.500 0.500 0.382
Ru 0.500 0.500 0.898
Au 0.000 0.000 0.519
! formation enthalpy at 0 K: -1.3 eV per formula unit
! V: 23.23 Å³ per atom


# 6
! PBE Y2RuAu, relaxed; values from VASP
&SYSTEM
  ibrav = 0, nat = 4, ntyp = 3
/
ATOMIC_SPECIES
Y 88.91 Y.upf
Ru 101.07 Ru.upf
Au 196.97 Au.upf
CELL_PARAMETERS angstrom
1.889 1.090 7.764
-1.889 1.090 7.764
0.000 -2.181 7.764
ATOMIC_POSITIONS crystal
Y 0.242 0.242 0.242
Y 0.758 0.758 0.758
Ru 0.500 0.500 0.500
Au 0.000 0.000 0.000
! formation enthalpy at 0 K: -1.3 eV per formula unit
! V: 23.98 Å³ per atom


# 7
! PBE Y2RuAu, relaxed; values from VASP
&SYSTEM
  ibrav = 0, nat = 4, ntyp = 3
/
ATOMIC_SPECIES
Y 88.91 Y.upf
Ru 101.07 Ru.upf
Au 196.97 Au.upf
CELL_PARAMETERS angstrom
4.514 0.000 0.000
0.000 1.886 5.328
0.000 -1.886 5.328
ATOMIC_POSITIONS crystal
Y 0.000 0.000 0.000
Y 0.500 0.284 0.284
Ru 0.000 0.730 0.730
Au 0.500 0.563 0.563
! formation enthalpy at 0 K: -2.1 eV per formula unit
! V: 22.67 Å³ per atom


# 8
! PBE Y2RuAu, relaxed; values from VASP
&SYSTEM
  ibrav = 0, nat = 4, ntyp = 3
/
ATOMIC_SPECIES
Y 88.91 Y.upf
Ru 101.07 Ru.upf
Au 196.97 Au.upf
CELL_PARAMETERS angstrom
3.446 0.000 0.000
0.000 3.446 0.000
0.000 0.000 7.312
ATOMIC_POSITIONS crystal
Y 0.000 0.000 0.230
Y 0.000 0.000 0.770
Ru 0.500 0.500 0.000
Au 0.500 0.500 0.500
! formation enthalpy at 0 K: -2.5 eV per formula unit
! V: 21.71 Å³ per atom


# 9
! PBE Y2RuAu, relaxed; values from VASP
&SYSTEM
  ibrav = 0, nat = 4, ntyp = 3
/
ATOMIC_SPECIES
Y 88.91 Y.upf
Ru 101.07 Ru.upf
Au 196.97 Au.upf
CELL_PARAMETERS angstrom
-2.476 2.476 3.523
2.476 -2.476 3.523
2.476 2.476 -3.523
ATOMIC_POSITIONS crystal
Y 0.250 0.750 0.500
Y 0.750 0.250 0.500
Ru 0.000 0.000 0.000
Au 0.500 0.500 0.000
! formation enthalpy at 0 K: -2.3 eV per formula unit
! V: 21.60 Å³ per atom


# 10
! PBE YRu3Au, relaxed; values from VASP
&SYSTEM
  ibrav = 0, nat = 5, ntyp = 3
/
ATOMIC_SPECIES
Y 88.91 Y.upf
Ru 101.07 Ru.upf
Au 196.97 Au.upf
CELL_PARAMETERS angstrom
4.871 0.000 0.000
0.000 4.871 0.000
0.000 0.000 4.871
ATOMIC_POSITIONS crystal
Y 0.000 0.000 0.000
Ru 0.000 0.500 0.500
Ru 0.500 0.000 0.500
Ru 0.500 0.500 0.000
Au 0.500 0.500 0.500
! formation enthalpy at 0 K: 7.1 eV per formula unit
! V: 23.12 Å³ per atom


# 11
! PBE Y2RuAu, relaxed; values from VASP
&SYSTEM
  ibrav = 0, nat = 4, ntyp = 3
/
ATOMIC_SPECIES
Y 88.91 Y.upf
Ru 101.07 Ru.upf
Au 196.97 Au.upf
CELL_PARAMETERS angstrom
-2.089 2.089 4.938
2.089 -2.089 4.938
2.089 2.089 -4.938
ATOMIC_POSITIONS crystal
Y 0.000 0.000 0.000
Y 0.750 0.250 0.500
Ru 0.500 0.500 0.000
Au 0.250 0.750 0.500
! formation enthalpy at 0 K: -1.4 eV per formula unit
! V: 21.55 Å³ per atom


# 12
! PBE YRu3Au, relaxed; values from VASP
&SYSTEM
  ibrav = 0, nat = 5, ntyp = 3
/
ATOMIC_SPECIES
Y 88.91 Y.upf
Ru 101.07 Ru.upf
Au 196.97 Au.upf
CELL_PARAMETERS angstrom
4.853 0.000 0.000
0.000 4.853 0.000
0.000 0.000 4.853
ATOMIC_POSITIONS crystal
Y 0.000 0.000 0.000
Ru 0.000 0.000 0.500
Ru 0.000 0.500 0.000
Ru 0.500 0.000 0.000
Au 0.500 0.500 0.500
! formation enthalpy at 0 K: 10.0 eV per formula unit
! V: 22.86 Å³ per atom


What is the formula in the fourth record? Y2RuAu